{"formula": "Cd3Sb2I2", "functional": "PBE-GGA", "state": "relaxed", "crystal_system": "triclinic", "energy_ev_per_atom": -2.227, "m_tot_mub_per_cell": 0.00, "volume_a3_per_atom": 41.14, "sg": "P-1 (2)", "rho_g_cm3": 4.812, "lattice_angstrom": [[5.557, 0.931, 0.209], [-1.578, 6.555, -0.349], [-0.152, -1.517, 7.659]], "species": ["Cd", "Cd", "Cd", "Sb", "Sb", "I", "I"], "fractional_positions": [[0.000, 0.000, 0.000], [0.554, 0.471, 0.253], [0.446, 0.529, 0.747], [0.807, 0.349, 0.944], [0.193, 0.651, 0.056], [0.745, 0.774, 0.564], [0.255, 0.226, 0.436]]}


{"formula": "HfNbCr", "functional": "PBE-GGA", "state": "relaxed", "crystal_system": "triclinic", "energy_ev_per_atom": -9.663, "m_tot_mub_per_cell": 0.00, "volume_a3_per_atom": 17.56, "relative_energy_ev_per_atom": 0.212, "sg": "P1 (1)", "delta_e_f_ev_per_atom": 0.219, "rho_g_cm3": 10.193, "lattice_angstrom": [[-0.553, -0.090, 4.687], [-3.649, -2.605, 1.728], [3.500, -3.790, 1.774]], "species": ["Cr", "Cr", "Nb", "Nb", "Hf", "Hf"], "fractional_positions": [[0.698, 0.794, 0.294], [0.216, 0.966, 0.519], [0.828, 0.704, 0.784], [0.312, 0.448, 0.213], [0.559, 0.338, 0.637], [0.064, 0.086, 0.030]]}


{"formula": "CoAu3S", "functional": "PBE-GGA", "state": "relaxed", "crystal_system": "cubic", "energy_ev_per_atom": -3.248, "m_tot_mub_per_cell": 1.91, "volume_a3_per_atom": 21.33, "relative_energy_ev_per_atom": 0.000, "sg": "Pm-3m (221)", "rho_g_cm3": 10.619, "lattice_angstrom": [[-2.706, -3.424, -1.854], [3.856, -2.041, -1.858], [0.544, -2.568, 3.949]], "species": ["Co", "S", "Au", "Au", "Au"], "fractional_positions": [[0.500, 0.500, 0.500], [0.000, 0.000, 0.000], [0.000, 0.500, 0.000], [0.000, 0.000, 0.500], [0.500, 0.000, 0.000]]}


What did the first record say?
{"formula": "Cd3Sb2I2", "functional": "PBE-GGA", "state": "relaxed", "crystal_system": "triclinic", "energy_ev_per_atom": -2.227, "m_tot_mub_per_cell": 0.00, "volume_a3_per_atom": 41.14, "sg": "P-1 (2)", "rho_g_cm3": 4.812, "lattice_angstrom": [[5.557, 0.931, 0.209], [-1.578, 6.555, -0.349], [-0.152, -1.517, 7.659]], "species": ["Cd", "Cd", "Cd", "Sb", "Sb", "I", "I"], "fractional_positions": [[0.000, 0.000, 0.000], [0.554, 0.471, 0.253], [0.446, 0.529, 0.747], [0.807, 0.349, 0.944], [0.193, 0.651, 0.056], [0.745, 0.774, 0.564], [0.255, 0.226, 0.436]]}